## K3In2Hg3 (PBE-GGA)

Data for K3In2Hg3 after structural relaxation.

Output
ΔE_f ... -204 meV/atom

a = 5.188 Å, b = 6.845 Å, c = 16.856 Å
α = 90.00°, β = 90.00°, γ = 112.27°
Atoms (fractional coordinates):
1 K 0.921 0.841 0.110
2 K 0.079 0.159 0.610
3 K 0.615 0.229 0.250
4 K 0.079 0.159 0.890
5 K 0.385 0.771 0.750
6 K 0.921 0.841 0.390
7 In 0.215 0.430 0.086
8 In 0.215 0.430 0.414
9 In 0.785 0.570 0.586
10 In 0.785 0.570 0.914
11 Hg 0.312 0.624 0.250
12 Hg 0.388 0.776 0.539
13 Hg 0.388 0.776 0.961
14 Hg 0.688 0.376 0.750
15 Hg 0.612 0.224 0.039
16 Hg 0.612 0.224 0.461

=====

## YPuH4 (PBE-GGA)

Data for YPuH4 after structural relaxation.

Output
VASP energy ... -37.43 eV/f.u.

a = 3.694 Å, b = 3.694 Å, c = 5.280 Å
α = 90.00°, β = 90.00°, γ = 90.00°
Last column: magnetic moment on the atom in μB.
Atoms (fractional coordinates):
1 H 0.501 0.997 0.242  -0.01
2 H 0.501 0.997 0.755  -0.01
3 H 0.001 0.497 0.755  -0.01
4 H 0.001 0.497 0.242  -0.01
5 Pu 0.001 0.997 0.498  5.14
6 Y 0.501 0.497 0.998  0.02

=====

Sequential mass density output: 5.69 7.77 g/cm³